{"formula": "RbCoC4O4", "functional": "GGA+U", "state": "relaxed", "space_group": "C2/c", "m_tot_mub_per_cell": 0.00, "energy_ev_per_cell": -280.276, "lattice_angstrom": [[-2.4450, -4.3988, -2.6891], [-6.1106, 9.0912, -3.2614], [10.0577, 2.0777, -6.4895]], "species": ["Co", "Co", "Co", "Co", "Rb", "Rb", "Rb", "Rb", "C", "C", "C", "C", "C", "C", "C", "C", "C", "C", "C", "C", "C", "C", "C", "C", "O", "O", "O", "O", "O", "O", "O", "O", "O", "O", "O", "O", "O", "O", "O", "O"], "fractional_positions": [[0.5794, 0.4870, 0.7387], [0.6464, 0.9870, 0.2387], [0.4206, 0.5130, 0.2613], [0.3536, 0.0130, 0.7613], [0.6531, 0.2864, 0.4440], [0.3469, 0.7136, 0.5560], [0.9227, 0.2136, 0.0560], [0.0773, 0.7864, 0.9440], [0.9356, 0.0967, 0.3064], [0.2242, 0.4619, 0.3440], [0.7210, 0.8699, 0.1574], [0.2587, 0.5799, 0.1609], [0.5817, 0.9619, 0.8440], [0.0644, 0.9033, 0.6936], [0.7413, 0.4201, 0.8391], [0.5325, 0.4033, 0.1936], [0.3063, 0.3699, 0.6574], [0.2790, 0.1301, 0.8426], [0.4822, 0.0799, 0.6609], [0.4183, 0.0381, 0.1560], [0.5178, 0.9201, 0.3391], [0.7758, 0.5381, 0.6560], [0.4675, 0.5967, 0.8064], [0.6937, 0.6301, 0.3426], [0.4317, 0.8737, 0.4057], [0.0894, 0.4340, 0.4021], [0.9106, 0.5660, 0.5979], [0.6193, 0.3316, 0.1502], [0.7788, 0.7921, 0.1052], [0.8815, 0.7079, 0.3948], [0.1523, 0.6263, 0.0943], [0.5683, 0.1263, 0.5943], [0.2534, 0.0660, 0.0979], [0.1185, 0.2921, 0.6052], [0.2212, 0.2079, 0.8948], [0.8626, 0.8317, 0.6502], [0.3807, 0.6684, 0.8498], [0.8477, 0.3737, 0.9057], [0.7466, 0.9340, 0.9021], [0.1374, 0.1683, 0.3498]]}

{"formula": "Co2C5SO5", "functional": "GGA+U", "state": "relaxed", "space_group": "P2_1/c", "m_tot_mub_per_cell": 0.00, "energy_ev_per_cell": -365.731, "lattice_angstrom": [[-0.3911, 9.5000, 2.0428], [-6.1573, 0.1894, -2.0596], [-3.4439, -10.5224, 9.3279]], "species": ["O", "O", "O", "O", "O", "O", "O", "O", "O", "O", "O", "O", "O", "O", "O", "O", "O", "O", "O", "O", "C", "C", "C", "C", "C", "C", "C", "C", "C", "C", "C", "C", "C", "C", "C", "C", "C", "C", "C", "C", "Co", "Co", "Co", "Co", "Co", "Co", "Co", "Co", "S", "S", "S", "S"], "fractional_positions": [[0.9066, 0.1300, 0.2453], [0.8471, 0.5549, 0.5365], [0.4831, 0.8343, 0.2346], [0.8546, 0.7476, 0.8243], [0.9066, 0.3700, 0.7453], [0.0934, 0.6300, 0.2547], [0.1261, 0.8234, 0.5562], [0.8739, 0.1766, 0.4438], [0.4831, 0.6657, 0.7346], [0.1454, 0.2476, 0.6757], [0.5169, 0.1657, 0.7654], [0.1529, 0.0549, 0.9635], [0.8546, 0.7524, 0.3243], [0.8739, 0.3234, 0.9438], [0.0934, 0.8700, 0.7547], [0.1529, 0.4451, 0.4635], [0.1261, 0.6766, 0.0562], [0.5169, 0.3343, 0.2654], [0.8471, 0.9451, 0.0365], [0.1454, 0.2524, 0.1757], [0.7632, 0.6994, 0.5078], [0.2181, 0.9144, 0.5454], [0.2267, 0.1402, 0.2490], [0.5119, 0.1192, 0.6848], [0.4881, 0.8808, 0.3152], [0.8033, 0.2460, 0.7033], [0.2368, 0.3006, 0.4922], [0.2267, 0.3598, 0.7490], [0.1967, 0.7540, 0.2967], [0.5119, 0.3808, 0.1848], [0.2181, 0.5856, 0.0454], [0.4881, 0.6192, 0.8152], [0.7632, 0.8006, 0.0078], [0.7819, 0.0856, 0.4546], [0.2368, 0.1994, 0.9922], [0.8033, 0.2540, 0.2033], [0.1967, 0.7460, 0.7967], [0.7733, 0.8598, 0.7510], [0.7819, 0.4144, 0.9546], [0.7733, 0.6402, 0.2510], [0.6584, 0.0425, 0.6438], [0.3527, 0.4295, 0.0300], [0.3527, 0.0705, 0.5300], [0.6473, 0.5705, 0.9700], [0.3416, 0.5425, 0.8562], [0.3416, 0.9575, 0.3562], [0.6584, 0.4575, 0.1438], [0.6473, 0.9295, 0.4700], [0.5120, 0.2963, 0.9769], [0.4880, 0.7037, 0.0231], [0.4880, 0.7963, 0.5231], [0.5120, 0.2037, 0.4769]]}

{"formula": "Co3C9SeO9", "functional": "GGA+U", "state": "relaxed", "space_group": "P-1", "m_tot_mub_per_cell": 2.00, "energy_ev_per_cell": -313.684, "lattice_angstrom": [[-4.0053, -5.2521, -4.0820], [3.7658, -1.6830, -7.4143], [4.5939, -9.3685, 3.5836]], "species": ["C", "C", "C", "C", "C", "C", "C", "C", "C", "C", "C", "C", "C", "C", "C", "C", "C", "C", "O", "O", "O", "O", "O", "O", "O", "O", "O", "O", "O", "O", "O", "O", "O", "O", "O", "O", "Se", "Se", "Co", "Co", "Co", "Co", "Co", "Co"], "fractional_positions": [[0.7352, 0.0100, 0.1050], [0.5194, 0.6256, 0.8667], [0.0770, 0.8953, 0.1805], [0.2648, 0.9900, 0.8950], [0.4806, 0.3744, 0.1333], [0.3905, 0.4066, 0.7619], [0.9725, 0.4731, 0.3264], [0.1971, 0.1409, 0.2921], [0.2445, 0.0051, 0.6523], [0.0275, 0.5269, 0.6736], [0.8680, 0.2332, 0.4594], [0.7555, 0.9949, 0.3477], [0.8029, 0.8591, 0.7079], [0.4986, 0.3606, 0.3766], [0.1320, 0.7668, 0.5406], [0.6095, 0.5934, 0.2381], [0.9230, 0.1047, 0.8195], [0.5014, 0.6394, 0.6234], [0.5971, 0.7331, 0.2399], [0.6258, 0.6201, 0.9291], [0.3056, 0.0560, 0.5608], [0.4038, 0.3560, 0.4706], [0.8124, 0.2066, 0.5610], [0.3561, 0.0640, 0.2825], [0.0065, 0.4019, 0.6582], [0.5962, 0.6440, 0.5294], [0.9935, 0.5981, 0.3418], [0.1876, 0.7934, 0.4390], [0.6944, 0.9440, 0.4392], [0.7837, 0.2195, 0.8406], [0.3742, 0.3799, 0.0709], [0.4029, 0.2669, 0.7601], [0.6439, 0.9360, 0.7175], [0.6664, 0.9660, 0.0363], [0.3336, 0.0340, 0.9637], [0.2163, 0.7805, 0.1594], [0.9184, 0.2853, 0.1075], [0.0816, 0.7147, 0.8925], [0.8560, 0.0622, 0.2072], [0.1440, 0.9378, 0.7928], [0.0420, 0.7259, 0.6924], [0.3671, 0.6217, 0.7667], [0.9580, 0.2741, 0.3076], [0.6329, 0.3783, 0.2333]]}